Compound: Os4RuRh
Source: the Alexandria database
Functional: GGA-PBE
Structure: relaxed

Structure (CIF):
```
data_Os4RuRh
_chemical_formula_sum 'Os8 Ru2 Rh2'
_cell_length_a 9.5125
_cell_length_b 5.1438
_cell_length_c 5.1359
_cell_angle_alpha 124.84
_cell_angle_beta 117.54
_cell_angle_gamma 90.04
_symmetry_space_group_name_H-M 'P 1'
_symmetry_Int_Tables_number 1
_symmetry_space_group_name_Hall 'P 1'
loop_
_atom_site_label
_atom_site_type_symbol
_atom_site_fract_x
_atom_site_fract_y
_atom_site_fract_z
_atom_site_occupancy
Os1 Os 0.3736 0.5819 0.3323 1
Os2 Os 0.7101 0.9186 0.6719 1
Os3 Os 0.2899 0.0814 0.3281 1
Os4 Os 0.2062 0.9164 0.6629 1
Os5 Os 0.1244 0.4161 0.6663 1
Os6 Os 0.6264 0.4181 0.6677 1
Os7 Os 0.8756 0.5839 0.3337 1
Os8 Os 0.7938 0.0836 0.3371 1
Rh1 Rh 0.4573 0.7502 0.0002 1
Rh2 Rh 0.5427 0.2498 0.9998 1
Ru1 Ru 0.0414 0.2501 0.9999 1
Ru2 Ru 0.9586 0.7499 0.0001 1
```

Results
Total DFT energy (no corrections)   -122.9 eV/cell
Energy relative to the elements   7 kJ/mol of formula units
Symmetry   P-1 (2)
Calculated volume   170 Å³ per cell
Density of states at the Fermi level   0.80 states/eV per atom

Compound: AcSm4Er2Tm
Source: the Alexandria database
Functional: GGA-PBE
Structure: relaxed

Structure (CIF):
```
data_AcSm4Er2Tm
_chemical_formula_sum 'Ac1 Sm4 Er2 Tm1'
_cell_length_a 5.8455
_cell_length_b 5.8410
_cell_length_c 9.9046
_cell_angle_alpha 53.87
_cell_angle_beta 90.00
_cell_angle_gamma 90.00
_symmetry_space_group_name_H-M 'P 1'
_symmetry_Int_Tables_number 1
_symmetry_space_group_name_Hall 'P 1'
loop_
_atom_site_label
_atom_site_type_symbol
_atom_site_fract_x
_atom_site_fract_y
_atom_site_fract_z
_atom_site_occupancy
Sm1 Sm 0.0000 0.2249 0.2747 1
Sm2 Sm 0.5000 0.2765 0.7235 1
Sm3 Sm 0.0000 0.7751 0.7253 1
Sm4 Sm 0.5000 0.7235 0.2765 1
Ac1 Ac 0.5000 0.5000 0.0000 1
Er1 Er 0.0000 0.0000 0.0000 1
Er2 Er 0.5000 0.0000 0.5000 1
Tm1 Tm 0.0000 0.5000 0.5000 1
```

Results
Total DFT energy (no corrections)   -35.7 eV/cell
Energy relative to the elements   85 kJ/mol of formula units
Symmetry   Pmmm (47)
Calculated volume   273 Å³ per cell
Density of states at the Fermi level   2.05 states/eV per atom

Compound: PrDyPd4
Source: the Alexandria database
Functional: GGA-PBE
Structure: relaxed

Structure (CIF):
```
data_PrDyPd4
_chemical_formula_sum 'Pr2 Dy2 Pd8'
_cell_length_a 4.2423
_cell_length_b 5.8013
_cell_length_c 10.1461
_cell_angle_alpha 90.00
_cell_angle_beta 102.07
_cell_angle_gamma 90.00
_symmetry_space_group_name_H-M 'P 1'
_symmetry_Int_Tables_number 1
_symmetry_space_group_name_Hall 'P 1'
loop_
_atom_site_label
_atom_site_type_symbol
_atom_site_fract_x
_atom_site_fract_y
_atom_site_fract_z
_atom_site_occupancy
Pd1 Pd 0.8562 0.5075 0.7124 1
Pd2 Pd 0.1438 0.4925 0.2876 1
Pd3 Pd 0.0000 0.5000 0.0000 1
Pd4 Pd 0.4289 0.7500 0.8577 1
Pd5 Pd 0.8562 0.9925 0.7124 1
Pd6 Pd 0.1438 0.0075 0.2876 1
Pd7 Pd 0.0000 0.0000 0.0000 1
Pd8 Pd 0.5711 0.2500 0.1423 1
Pr1 Pr 0.7223 0.2500 0.4447 1
Pr2 Pr 0.2777 0.7500 0.5553 1
Dy1 Dy 0.4246 0.2500 0.8493 1
Dy2 Dy 0.5754 0.7500 0.1507 1
```

Results
Total DFT energy (no corrections)   -70.4 eV/cell
Energy relative to the elements   -487 kJ/mol of formula units
Symmetry   Cmcm (63)
Calculated volume   244 Å³ per cell
Density of states at the Fermi level   0.23 states/eV per atom

Compound: ErBeZnCu
Source: the Alexandria database
Functional: GGA-PBE
Structure: relaxed

Structure (CIF):
```
data_ErBeZnCu
_chemical_formula_sum 'Er1 Be1 Zn1 Cu1'
_cell_length_a 4.4775
_cell_length_b 4.4775
_cell_length_c 4.4775
_cell_angle_alpha 60.00
_cell_angle_beta 60.00
_cell_angle_gamma 60.00
_symmetry_space_group_name_H-M 'P 1'
_symmetry_Int_Tables_number 1
_symmetry_space_group_name_Hall 'P 1'
loop_
_atom_site_label
_atom_site_type_symbol
_atom_site_fract_x
_atom_site_fract_y
_atom_site_fract_z
_atom_site_occupancy
Cu1 Cu 0.2500 0.2500 0.2500 1
Er1 Er 0.5000 0.5000 0.5000 1
Zn1 Zn 0.7500 0.7500 0.7500 1
Be1 Be 0.0000 0.0000 0.0000 1
```

Results
Total DFT energy (no corrections)   -13.9 eV/cell
Energy relative to the elements   -23 kJ/mol of formula units
Symmetry   F-43m (216)
Calculated volume   63 Å³ per cell
Density of states at the Fermi level   0.61 states/eV per atom

Compound: BaCu2Sb2
Source: the Alexandria database
Functional: GGA-PBE
Structure: relaxed

Structure (CIF):
```
data_BaCu2Sb2
_chemical_formula_sum 'Ba2 Cu4 Sb4'
_cell_length_a 8.3255
_cell_length_b 8.3255
_cell_length_c 3.4323
_cell_angle_alpha 90.00
_cell_angle_beta 90.00
_cell_angle_gamma 90.00
_symmetry_space_group_name_H-M 'P 1'
_symmetry_Int_Tables_number 1
_symmetry_space_group_name_Hall 'P 1'
loop_
_atom_site_label
_atom_site_type_symbol
_atom_site_fract_x
_atom_site_fract_y
_atom_site_fract_z
_atom_site_occupancy
Ba1 Ba 0.5000 0.5000 0.0000 1
Ba2 Ba 0.0000 0.0000 0.0000 1
Sb1 Sb 0.3361 0.1639 0.5000 1
Sb2 Sb 0.6639 0.8361 0.5000 1
Sb3 Sb 0.1639 0.6639 0.5000 1
Sb4 Sb 0.8361 0.3361 0.5000 1
Cu1 Cu 0.8933 0.6067 0.0000 1
Cu2 Cu 0.1067 0.3933 0.0000 1
Cu3 Cu 0.6067 0.1067 0.0000 1
Cu4 Cu 0.3933 0.8933 0.0000 1
```

Results
Total DFT energy (no corrections)   -38.1 eV/cell
Symmetry   P4/mbm (127)
Calculated volume   238 Å³ per cell
Density of states at the Fermi level   0.41 states/eV per atom

Compound: Na3CeDy3Se8
Source: the Alexandria database
Functional: GGA-PBE
Structure: relaxed

Structure (CIF):
```
data_Na3CeDy3Se8
_chemical_formula_sum 'Na3 Ce1 Dy3 Se8'
_cell_length_a 8.3088
_cell_length_b 8.3086
_cell_length_c 8.5022
_cell_angle_alpha 119.28
_cell_angle_beta 90.00
_cell_angle_gamma 120.00
_symmetry_space_group_name_H-M 'P 1'
_symmetry_Int_Tables_number 1
_symmetry_space_group_name_Hall 'P 1'
loop_
_atom_site_label
_atom_site_type_symbol
_atom_site_fract_x
_atom_site_fract_y
_atom_site_fract_z
_atom_site_occupancy
Na1 Na 0.0000 0.5000 0.0000 1
Na2 Na 0.0000 0.0000 0.0000 1
Na3 Na 0.5000 0.5000 0.0000 1
Se1 Se 0.2420 0.4839 0.7256 1
Se2 Se 0.7580 0.5161 0.2744 1
Se3 Se 0.2419 0.9839 0.7256 1
Se4 Se 0.7420 0.9839 0.7256 1
Se5 Se 0.2567 0.5134 0.2703 1
Se6 Se 0.2580 0.0161 0.2744 1
Se7 Se 0.7433 0.4866 0.7297 1
Se8 Se 0.7581 0.0161 0.2744 1
Ce1 Ce 0.0000 0.0000 0.5000 1
Dy1 Dy 0.5000 0.0000 0.5000 1
Dy2 Dy 0.5000 0.5000 0.5000 1
Dy3 Dy 0.0000 0.5000 0.5000 1
```

Results
Total DFT energy (no corrections)   -76.7 eV/cell
Symmetry   R-3m (166)
Calculated volume   419 Å³ per cell